[1]
DFT (PBE) results for an optimized crystal structure of Li2TaCu.

Cell and atoms, written as POSCAR:
```
Li2TaCu
1.0
-1.396 5.201 7.657
-3.772 5.768 6.335
-3.572 3.493 7.917
Cu Li Ta
1 2 1
Cartesian
-6.554 10.846 16.432
-0.075 0.125 0.189
-4.294 7.106 10.766
-2.185 3.615 5.477
```

Computed properties:
* SG: R-3m (166)

---

[2]
DFT (PBE) results for an optimized crystal structure of LiTaCu.

Cell and atoms, written as POSCAR:
```
LiTaCu
1.0
4.170 0.000 0.000
2.085 3.612 0.000
2.085 1.204 3.405
Cu Li Ta
1 1 1
Cartesian
0.000 0.000 0.000
4.170 2.408 1.703
6.255 3.612 2.554
```

Computed properties:
* SG: F-43m (216)

---

[3]
DFT (PBE) results for an optimized crystal structure of Li2TaCu.

Cell and atoms, written as POSCAR:
```
Li2TaCu
1.0
-2.157 1.978 3.603
-3.091 0.116 -1.914
-0.905 -3.288 1.263
Cu Li Ta
1 2 1
Cartesian
-1.531 -0.655 2.433
0.000 0.000 0.000
-1.998 -1.586 -0.325
-2.624 1.047 0.845
```

Computed properties:
* SG: P4/mmm (123)

---

Results for formation energy: 0.220 1.112 0.484 (in eV per atom, following the order of the records).
Results for calculated density: 6.961 8.141 6.987 (in g/cm3, following the order of the records).